(1)
A plane-wave DFT calculation with GGA-PBE was carried out for a geometry-optimized CeHf2C structure.

Geometry as CIF:
```
data_CeHf2C
_chemical_formula_sum 'Ce3 Hf6 C3'
_cell_length_a 3.2098
_cell_length_b 3.2098
_cell_length_c 26.7177
_cell_angle_alpha 90.00
_cell_angle_beta 90.00
_cell_angle_gamma 120.00
_space_group_name_H-M_alt 'R -3 m'
_space_group_IT_number 166
_space_group_name_Hall '-R 3 2"'
loop_
_atom_site_label
_atom_site_fract_x
_atom_site_fract_y
_atom_site_fract_z
Ce1 0.0000 0.0000 0.0000
Hf1 0.0000 0.0000 0.1193
C1 0.0000 0.0000 0.5000
```

Computed properties:
ΔE_f: -0.34 eV/atom

(2)
A plane-wave DFT calculation with GGA-PBE was carried out for a geometry-optimized CeHfC structure.

Geometry as CIF:
```
data_CeHfC
_chemical_formula_sum 'Ce2 Hf2 C2'
_cell_length_a 3.223
_cell_length_b 3.223
_cell_length_c 10.904
_cell_angle_alpha 90.00
_cell_angle_beta 90.00
_cell_angle_gamma 90.00
_space_group_name_H-M_alt 'I 4 m m'
_space_group_IT_number 107
_space_group_name_Hall 'I 4 -2'
loop_
_atom_site_label
_atom_site_fract_x
_atom_site_fract_y
_atom_site_fract_z
Ce1 0.000 0.000 0.000
Hf1 0.000 0.000 0.726
C1 0.000 0.000 0.243
```

Computed properties:
E above lowest polymorph: 0.368 eV/atom
ΔE_f: 0.05 eV/atom

(3)
A plane-wave DFT calculation with GGA-PBE was carried out for a geometry-optimized Ce2HfC structure.

Geometry as CIF:
```
data_Ce2HfC
_chemical_formula_sum 'Ce6 Hf3 C3'
_cell_length_a 3.3280
_cell_length_b 3.3280
_cell_length_c 27.4008
_cell_angle_alpha 90.00
_cell_angle_beta 90.00
_cell_angle_gamma 120.00
_space_group_name_H-M_alt 'R -3 m'
_space_group_IT_number 166
_space_group_name_Hall '-R 3 2"'
loop_
_atom_site_label
_atom_site_fract_x
_atom_site_fract_y
_atom_site_fract_z
Ce1 0.0000 0.0000 0.1119
Hf1 0.0000 0.0000 0.0000
C1 0.0000 0.0000 0.5000
```

Computed properties:
ΔE_f: 0.20 eV/atom